{"formula": "ScBe2IrO", "functional": "PBE-GGA", "state": "optimized geometry", "dos_at_fermi_per_ev_fu": 4.53, "total_energy_ev_per_atom": -5.485, "e_form_raw_ev_per_atom": 0.036, "lattice_angstrom": [[-1.866, 0.754, -3.567], [0.602, -4.100, -1.182], [-3.601, -1.010, 1.670]], "species": ["Sc", "Ir", "Be", "Be", "O"], "fractional_positions": [[0.500, 0.500, 0.500], [0.000, 0.000, 0.000], [0.000, 0.000, 0.500], [0.500, 0.000, 0.000], [0.000, 0.500, 0.000]]}